No. 1
Material: Tb4Er2Pb3O2
Method: DFT, GGA-PBE
State: optimized geometry

Unit cell a=13.0293 b=13.0293 c=13.0293 alpha=159.26 beta=159.26 gamma=29.50
Element x y z (fractional)
1 Tb 0.0844 0.5844 0.5000
2 Tb 0.4156 0.9156 0.5000
3 Tb 0.5844 0.0844 0.5000
4 Tb 0.9156 0.4156 0.5000
5 Er 0.1924 0.1924 0.0000
6 Er 0.8076 0.8076 0.0000
7 Pb 0.3187 0.3187 0.0000
8 Pb 0.5000 0.5000 0.0000
9 Pb 0.6813 0.6813 0.0000
10 O 0.1016 0.1016 0.0000
11 O 0.8984 0.8984 0.0000

Total magnetization   0.00 μB per formula unit
E_form (uncorrected)   -15.1 eV/f.u.
VASP energy   -5.80 eV per atom

***

No. 2
Material: SrYIr3
Method: DFT, GGA-PBE
State: optimized geometry

Unit cell a=5.0920 b=5.0920 c=5.0920 alpha=90.00 beta=90.00 gamma=90.00
Element x y z (fractional)
1 Sr 0.0000 0.0000 0.0000
2 Y 0.5000 0.5000 0.5000
3 Ir 0.0000 0.5000 0.5000
4 Ir 0.5000 0.0000 0.5000
5 Ir 0.5000 0.5000 0.0000

Calculated formation energy   1.053 eV/atom
Total magnetization   1.30 μB per formula unit
VASP energy   -5.89 eV per atom

***

No. 3
Material: TaRu2
Method: DFT, GGA-PBE
State: optimized geometry

Unit cell a=6.4824 b=6.4824 c=4.0426 alpha=90.00 beta=90.00 gamma=120.00
Element x y z (fractional)
1 Ta 0.0000 0.0000 0.0000
2 Ta 0.3333 0.6667 0.5000
3 Ta 0.6667 0.3333 0.5000
4 Ru 0.0000 0.2487 0.5000
5 Ru 0.0000 0.5880 0.0000
6 Ru 0.2487 0.0000 0.5000
7 Ru 0.4120 0.4120 0.0000
8 Ru 0.5880 0.0000 0.0000
9 Ru 0.7513 0.7513 0.5000

Calculated formation energy   0.163 eV/atom
Total magnetization   0.02 μB per formula unit
VASP energy   -9.97 eV per atom

***

No. 4
Material: LaNd2Tm3
Method: DFT, GGA-PBE
State: optimized geometry

Unit cell a=10.3373 b=10.3373 c=12.5597 alpha=120.87 beta=120.87 gamma=20.21
Element x y z (fractional)
1 La 0.0824 0.0824 0.1544
2 La 0.9176 0.9176 0.8456
3 Nd 0.2437 0.2437 0.6176
4 Nd 0.2506 0.2506 0.1255
5 Nd 0.7494 0.7494 0.8745
6 Nd 0.7563 0.7563 0.3824
7 Tm 0.0815 0.0815 0.6500
8 Tm 0.4156 0.4156 0.1027
9 Tm 0.4212 0.4212 0.5967
10 Tm 0.5788 0.5788 0.4033
11 Tm 0.5844 0.5844 0.8973
12 Tm 0.9185 0.9185 0.3500

Calculated formation energy   0.006 eV/atom
Total magnetization   0.00 μB per formula unit
VASP energy   -4.64 eV per atom

***

No. 5
Material: CsYCrCl6
Method: DFT, GGA-PBE
State: optimized geometry

Unit cell a=6.6991 b=6.6991 c=7.8477 alpha=91.80 beta=91.80 gamma=116.64
Element x y z (fractional)
1 Cs 0.0000 0.0000 0.0000
2 Y 0.6581 0.3419 0.5000
3 Cr 0.3174 0.6826 0.5000
4 Cl 0.3480 0.0046 0.6674
5 Cl 0.3475 0.4091 0.3137
6 Cl 0.5909 0.6525 0.6863
7 Cl 0.6092 0.0275 0.2779
8 Cl 0.9725 0.3908 0.7221
9 Cl 0.9954 0.6520 0.3326

Total magnetization   4.00 μB per formula unit
E_form (uncorrected)   -16.2 eV/f.u.
VASP energy   -4.91 eV per atom

***

No. 6
Material: BrCl3
Method: DFT, GGA-PBE
State: optimized geometry

Unit cell a=4.4563 b=4.4563 c=4.4563 alpha=90.00 beta=90.00 gamma=90.00
Element x y z (fractional)
1 Br 0.0000 0.0000 0.0000
2 Cl 0.0000 0.5000 0.5000
3 Cl 0.5000 0.0000 0.5000
4 Cl 0.5000 0.5000 0.0000

Total magnetization   0.03 μB per formula unit
E_form (uncorrected)   3.3 eV/f.u.
VASP energy   -0.98 eV per atom

***

No. 7
Material: BiPSeS2
Method: DFT, GGA-PBE
State: optimized geometry

Unit cell a=5.1229 b=5.1229 c=5.6148 alpha=90.00 beta=90.00 gamma=90.00
Element x y z (fractional)
1 Bi 0.0000 0.0000 0.0000
2 P 0.0000 0.0000 0.5000
3 Se 0.5000 0.5000 0.5000
4 S 0.0000 0.5000 0.0000
5 S 0.5000 0.0000 0.0000

Total magnetization   0.71 μB per formula unit
E_form (uncorrected)   5.6 eV/f.u.
VASP energy   -3.10 eV per atom

***

No. 8
Material: NiTe2NCl
Method: DFT, GGA-PBE
State: optimized geometry

Unit cell a=5.4689 b=5.4689 c=3.3934 alpha=90.00 beta=90.00 gamma=90.00
Element x y z (fractional)
1 Ni 0.0000 0.0000 0.0000
2 Te 0.0000 0.5000 0.5000
3 Te 0.5000 0.0000 0.5000
4 N 0.5000 0.5000 0.0000
5 Cl 0.5000 0.5000 0.5000

Total magnetization   0.00 μB per formula unit
E_form (uncorrected)   7.9 eV/f.u.
VASP energy   -2.87 eV per atom